Al2CrMo: optimized geometry, PBE.

Excess energy over the best structure of this formula in the dataset ... 175 meV/atom
SG ... Cm, No. 8
Formation energy ... 6 meV/atom

Unit cell a=4.7065 b=4.7065 c=4.7711 alpha=98.16 beta=98.16 gamma=33.41
Fractional positions:
Al (0.0000, 0.0000, 0.0000)
Al (0.2500, 0.2500, 0.7477)
Cr (0.5052, 0.5052, 0.5089)
Mo (0.7506, 0.7506, 0.2498)

AlCrMo3: optimized geometry, PBE.

Excess energy over the best structure of this formula in the dataset ... 0 meV/atom
SG ... Pm-3m, No. 221
Formation energy ... 1081 meV/atom

Unit cell a=4.4791 b=4.4791 c=4.4791 alpha=90.00 beta=90.00 gamma=90.00
Fractional positions:
Al (0.0000, 0.0000, 0.0000)
Cr (0.5000, 0.5000, 0.5000)
Mo (0.0000, 0.5000, 0.5000)
Mo (0.5000, 0.0000, 0.5000)
Mo (0.5000, 0.5000, 0.0000)

Al2CrMo: optimized geometry, PBE.

Excess energy over the best structure of this formula in the dataset ... 108 meV/atom
SG ... C2/m, No. 12
Formation energy ... -62 meV/atom

Unit cell a=4.9488 b=4.9488 c=2.6596 alpha=97.75 beta=97.75 gamma=115.20
Fractional positions:
Al (0.0000, 0.5000, 0.0000)
Al (0.5000, 0.0000, 0.0000)
Cr (0.0000, 0.0000, 0.5000)
Mo (0.5000, 0.5000, 0.5000)

Al2CrMo: optimized geometry, PBE.

Excess energy over the best structure of this formula in the dataset ... 97 meV/atom
SG ... Pmmm, No. 47
Formation energy ... -73 meV/atom

Unit cell a=3.2905 b=4.1494 c=4.1613 alpha=90.00 beta=90.00 gamma=90.00
Fractional positions:
Al (0.0000, 0.0000, 0.0000)
Al (0.5000, 0.0000, 0.5000)
Cr (0.0000, 0.5000, 0.5000)
Mo (0.5000, 0.5000, 0.0000)